1.
# KLiSn2Br6

KLiSn2Br6 after structural relaxation (PBE, Alexandria via LeMat-Bulk).

Properties
Energy relative to the elements, uncorrected ... -1.10 eV/atom

a b c (Å): 7.6234 7.6204 8.1434
angles (deg): 62.00 62.00 59.85
Last column: nearest neighbours and their distance in Å.
Fractional coordinates of all 10 atoms:
K: 0.8068 0.8073 0.5787  6 Br 3.21-3.40
Br: 0.9334 0.5909 0.2368  1 Li 2.92, 2 Sn 3.01-3.03
Br: 0.7183 0.1509 0.7578  1 Li 2.81, 2 Sn 2.97-3.02
Br: 0.2396 0.9324 0.2379  1 Li 2.92, 2 Sn 3.01-3.03
Br: 0.1529 0.3734 0.7566  1 Li 2.81, 2 Sn 2.99-3.00
Br: 0.5899 0.2396 0.2367  1 Li 2.92, 2 Sn 3.01-3.03
Br: 0.3735 0.7176 0.7560  1 Li 2.81, 2 Sn 2.98-3.00
Li: 0.3278 0.3274 0.0179  6 Br 2.81-2.92
Sn: 0.0044 0.0052 0.9844  6 Br 2.97-3.03
Sn: 0.5149 0.5168 0.4524  6 Br 3.00-3.03



2.
# Nd5ThTl

Nd5ThTl after structural relaxation (PBE, Alexandria via LeMat-Bulk).

Properties
ΔE_f ... 0.304 eV/atom

a b c (Å): 5.8698 5.8698 7.2179
angles (deg): 90.00 90.00 90.00
Last column: nearest neighbours and their distance in Å.
Fractional coordinates of all 7 atoms:
Tl: 0.0000 0.0000 0.0000  8 Nd 3.48, 2 Th 3.61
Th: 0.0000 0.0000 0.5000  8 Nd 3.41, 2 Tl 3.61
Nd: 0.5000 0.0000 0.7414  2 Th 3.41, 4 Nd 3.48-3.73, 2 Tl 3.48
Nd: 0.5000 0.0000 0.2586  2 Th 3.41, 4 Nd 3.48-3.73, 2 Tl 3.48
Nd: 0.0000 0.5000 0.2586  2 Th 3.41, 4 Nd 3.48-3.73, 2 Tl 3.48
Nd: 0.0000 0.5000 0.7414  2 Th 3.41, 4 Nd 3.48-3.73, 2 Tl 3.48
Nd: 0.5000 0.5000 0.0000  8 Nd 3.48



Density, record by record: 3.7 7.7 g cm⁻³